! Li4Nb2Cr3Co3O16 | Alexandria | PBE with a Hubbard U | optimized geometry; values from VASP
&SYSTEM
  ibrav = 0, nat = 28, ntyp = 5
/
ATOMIC_SPECIES
Li 6.94 Li.upf
Nb 92.91 Nb.upf
Cr 52.00 Cr.upf
Co 58.93 Co.upf
O 16.00 O.upf
ATOMIC_POSITIONS crystal
Li 0.000 0.000 0.000
Li 0.001 0.001 0.496
Li 0.322 0.322 0.402
Li 0.656 0.656 0.907
Nb 0.326 0.326 0.000
Nb 0.658 0.658 0.496
Cr 0.162 0.653 0.720
Cr 0.653 0.162 0.720
Cr 0.823 0.823 0.220
Co 0.163 0.163 0.720
Co 0.334 0.824 0.219
Co 0.824 0.334 0.219
O 0.029 0.467 0.843
O 0.160 0.665 0.098
O 0.161 0.161 0.107
O 0.321 0.321 0.612
O 0.326 0.830 0.601
O 0.467 0.029 0.843
O 0.474 0.474 0.846
O 0.506 0.954 0.342
O 0.512 0.512 0.337
O 0.654 0.654 0.116
O 0.665 0.160 0.098
O 0.829 0.829 0.592
O 0.830 0.326 0.601
O 0.954 0.506 0.342
O 0.998 0.998 0.813
O 0.999 0.999 0.310
CELL_PARAMETERS angstrom
5.071 -2.943 0.000
5.071 2.943 0.000
-0.117 0.000 9.555
! Total energy = -197.87 eV per cell
! M_tot = 8.974 μB per formula unit
! DOS(E_F) = 0.000 states/eV/cell
! Space-group type = Cm, No. 8